The following is a DFT calculation (PBE with a Hubbard U) of an optimized crystal structure of BeV2MoO8.

Structure (POSCAR):
```
BeV2MoO8
1.0
5.6163 0.0000 0.0000
-2.8081 4.8638 0.0000
0.0000 0.0000 5.2652
O Mo Be V
8 1 1 2
Direct
0.3039 0.1519 0.2775
0.8481 0.1519 0.2775
0.1519 0.8481 0.7225
0.1519 0.3039 0.7225
0.6667 0.3333 0.8922
0.6961 0.8481 0.7225
0.8481 0.6961 0.2775
0.3333 0.6667 0.1078
0.0000 0.0000 0.0000
0.0000 0.0000 0.5000
0.6667 0.3333 0.2005
0.3333 0.6667 0.7995
```

Values from the calculation:
* space-group type: P-3m1, No. 164
* calculated total energy: -85.69 eV/cell
* spin magnetization: 0.17 μB per atom